## Na2NbNiO4 (PBE with a Hubbard U)

Data for an optimized crystal structure of Na2NbNiO4.

```
data_Na2NbNiO4
_chemical_formula_sum 'Na4 Nb2 Ni2 O8'
_cell_length_a 5.823
_cell_length_b 5.823
_cell_length_c 6.475
_cell_angle_alpha 90.00
_cell_angle_beta 90.00
_cell_angle_gamma 90.00
_space_group_name_H-M_alt 'I -4'
_space_group_IT_number 82
_space_group_name_Hall 'I -4'
loop_
_atom_site_label
_atom_site_fract_x
_atom_site_fract_y
_atom_site_fract_z
Na1 0.000 0.000 0.000
Na2 0.000 0.500 0.250
Nb1 0.000 0.500 0.750
Ni1 0.000 0.000 0.500
O1 0.170 0.302 0.575
```

Output
Electronic total energy in eV/atom: -6.193